Version 1
Here is a PBEsol-optimized structure of IrPtBr from Alexandria. Energies are from meta-GGA SCAN.

Volume (Å³ per cell): 49
Crystal system: orthorhombic
Symmetry: Fmm2, No. 42

Cell lengths 7.365, 7.049, 2.907 Å; angles 84.54, 72.32, 23.14 degrees
Sites, in units of the cell vectors:
Ir 0.000 0.000 0.000
Pt 0.662 0.662 0.338
Br 0.343 0.343 0.657

Version 2
Here is a PBEsol-optimized structure of IrPtBr from Alexandria. Energies are from meta-GGA SCAN.

Volume (Å³ per cell): 57
Crystal system: cubic
Symmetry: F-43m, No. 216

Cell lengths 4.332, 4.332, 4.332 Å; angles 60.00, 60.00, 60.00 degrees
Sites, in units of the cell vectors:
Ir 0.000 0.000 0.000
Pt 0.250 0.250 0.250
Br 0.750 0.750 0.750

Which one sits at the bottom of the stability order? version 2 does.

Version 1
Here is a PBEsol-optimized structure of LaScZn from Alexandria. Energies are from meta-GGA SCAN.

Volume (Å³ per cell): 76
Crystal system: cubic
Symmetry: F-43m, No. 216

Cell lengths 4.746, 4.746, 4.746 Å; angles 60.00, 60.00, 60.00 degrees
Sites, in units of the cell vectors:
La 0.000 0.000 0.000
Sc 0.750 0.750 0.750
Zn 0.500 0.500 0.500

Version 2
Here is a PBEsol-optimized structure of LaScZn from Alexandria. Energies are from meta-GGA SCAN.

Volume (Å³ per cell): 74
Crystal system: trigonal
Symmetry: P3m1, No. 156

Cell lengths 3.428, 3.428, 7.312 Å; angles 90.00, 90.00, 120.00 degrees
Sites, in units of the cell vectors:
La 0.000 0.000 0.000
Sc 0.333 0.667 0.606
Zn 0.667 0.333 0.332

Which one sits at the bottom of the stability order? version 1 does.

Version 1
Here is a PBEsol-optimized structure of OsRh2Au from Alexandria. Energies are from meta-GGA SCAN.

Volume (Å³ per cell): 58
Crystal system: trigonal
Symmetry: R3m, No. 160

Cell lengths 9.107, 9.107, 9.107 Å; angles 17.21, 17.21, 17.21 degrees
Sites, in units of the cell vectors:
Os 0.000 0.000 0.000
Rh 0.256 0.256 0.256
Rh 0.508 0.508 0.508
Au 0.755 0.755 0.755

Version 2
Here is a PBEsol-optimized structure of OsRh2Au from Alexandria. Energies are from meta-GGA SCAN.

Volume (Å³ per cell): 58
Crystal system: trigonal
Symmetry: R-3m, No. 166

Cell lengths 9.099, 9.099, 9.099 Å; angles 17.23, 17.23, 17.23 degrees
Sites, in units of the cell vectors:
Os 0.000 0.000 0.000
Rh 0.255 0.255 0.255
Rh 0.745 0.745 0.745
Au 0.500 0.500 0.500

Which one sits at the bottom of the stability order? version 1 does.

Version 1
Here is a PBEsol-optimized structure of LiYCl2 from Alexandria. Energies are from meta-GGA SCAN.

Volume (Å³ per cell): 74
Crystal system: trigonal
Symmetry: R-3m, No. 166

Cell lengths 7.461, 7.461, 7.461 Å; angles 26.75, 26.75, 26.75 degrees
Sites, in units of the cell vectors:
Li 0.000 0.000 0.000
Y 0.500 0.500 0.500
Cl 0.264 0.264 0.264
Cl 0.736 0.736 0.736

Version 2
Here is a PBEsol-optimized structure of LiYCl2 from Alexandria. Energies are from meta-GGA SCAN.

Volume (Å³ per cell): 91
Crystal system: monoclinic
Symmetry: Pm, No. 6

Cell lengths 3.566, 3.495, 7.483 Å; angles 90.00, 103.73, 90.00 degrees
Sites, in units of the cell vectors:
Li 0.000 0.000 0.000
Y 0.688 0.500 0.379
Cl 0.508 0.500 0.017
Cl 0.825 0.000 0.656

Which one sits at the bottom of the stability order? version 2 does.

Version 1
Here is a PBEsol-optimized structure of Ca3Si from Alexandria. Energies are from meta-GGA SCAN.

Volume (Å³ per cell): 490
Crystal system: orthorhombic
Symmetry: Pnma, No. 62

Cell lengths 7.757, 9.636, 6.557 Å; angles 90.00, 90.00, 90.00 degrees
Sites, in units of the cell vectors:
Ca 0.032 0.250 0.113
Ca 0.176 0.059 0.672
Ca 0.176 0.441 0.672
Ca 0.324 0.559 0.172
Ca 0.324 0.941 0.172
Ca 0.468 0.750 0.613
Ca 0.532 0.250 0.387
Ca 0.676 0.059 0.828
Ca 0.676 0.441 0.828
Ca 0.824 0.559 0.328
Ca 0.824 0.941 0.328
Ca 0.968 0.750 0.887
Si 0.109 0.750 0.458
Si 0.391 0.250 0.958
Si 0.609 0.750 0.042
Si 0.891 0.250 0.542

Version 2
Here is a PBEsol-optimized structure of Ca3Si from Alexandria. Energies are from meta-GGA SCAN.

Volume (Å³ per cell): 379
Crystal system: orthorhombic
Symmetry: Cmmm, No. 65

Cell lengths 11.040, 11.040, 4.733 Å; angles 90.00, 90.00, 138.91 degrees
Sites, in units of the cell vectors:
Ca 0.000 0.000 0.000
Ca 0.116 0.390 0.000
Ca 0.244 0.756 0.500
Ca 0.289 0.289 0.500
Ca 0.390 0.116 0.000
Ca 0.610 0.884 0.000
Ca 0.711 0.711 0.500
Ca 0.756 0.244 0.500
Ca 0.884 0.610 0.000
Si 0.101 0.899 0.500
Si 0.500 0.500 0.000
Si 0.899 0.101 0.500

Which one sits at the bottom of the stability order? version 2 does.

Version 1
Here is a PBEsol-optimized structure of IrRu from Alexandria. Energies are from meta-GGA SCAN.

Volume (Å³ per cell): 27
Crystal system: trigonal
Symmetry: R-3m, No. 166

Cell lengths 4.651, 4.651, 4.651 Å; angles 33.54, 33.54, 33.54 degrees
Sites, in units of the cell vectors:
Ir 0.000 0.000 0.000
Ru 0.500 0.500 0.500

Version 2
Here is a PBEsol-optimized structure of IrRu from Alexandria. Energies are from meta-GGA SCAN.

Volume (Å³ per cell): 55
Crystal system: monoclinic
Symmetry: C2/m, No. 12

Cell lengths 5.078, 5.078, 4.700 Å; angles 117.35, 117.35, 30.89 degrees
Sites, in units of the cell vectors:
Ir 0.124 0.124 0.292
Ir 0.876 0.876 0.708
Ru 0.374 0.374 0.208
Ru 0.626 0.626 0.792

Which one sits at the bottom of the stability order? version 1 does.

Version 1
Here is a PBEsol-optimized structure of TaRuRh2 from Alexandria. Energies are from meta-GGA SCAN.

Volume (Å³ per cell): 58
Crystal system: trigonal
Symmetry: R3m, No. 160

Cell lengths 9.062, 9.062, 9.062 Å; angles 17.37, 17.37, 17.37 degrees
Sites, in units of the cell vectors:
Ta 0.000 0.000 0.000
Ru 0.246 0.246 0.246
Rh 0.500 0.500 0.500
Rh 0.750 0.750 0.750

Version 2
Here is a PBEsol-optimized structure of TaRuRh2 from Alexandria. Energies are from meta-GGA SCAN.

Volume (Å³ per cell): 57
Crystal system: tetragonal
Symmetry: I4/mmm, No. 139

Cell lengths 4.730, 4.730, 4.730 Å; angles 132.16, 132.16, 69.98 degrees
Sites, in units of the cell vectors:
Ta 0.000 0.000 0.000
Ru 0.500 0.500 0.000
Rh 0.250 0.750 0.500
Rh 0.750 0.250 0.500

Which one sits at the bottom of the stability order? version 1 does.

Version 1
Here is a PBEsol-optimized structure of Ba2SrCa from Alexandria. Energies are from meta-GGA SCAN.

Volume (Å³ per cell): 209
Crystal system: cubic
Symmetry: Fm-3m, No. 225

Cell lengths 6.658, 6.658, 6.658 Å; angles 60.00, 60.00, 60.00 degrees
Sites, in units of the cell vectors:
Ba 0.250 0.250 0.250
Ba 0.750 0.750 0.750
Sr 0.000 0.000 0.000
Ca 0.500 0.500 0.500

Version 2
Here is a PBEsol-optimized structure of Ba2SrCa from Alexandria. Energies are from meta-GGA SCAN.

Volume (Å³ per cell): 205
Crystal system: orthorhombic
Symmetry: Immm, No. 71

Cell lengths 7.715, 7.715, 7.715 Å; angles 144.05, 129.60, 63.45 degrees
Sites, in units of the cell vectors:
Ba 0.246 0.246 0.000
Ba 0.754 0.754 0.000
Sr 0.500 0.000 0.500
Ca 0.000 0.500 0.500

Which one sits at the bottom of the stability order? version 1 does.

Version 1
Here is a PBEsol-optimized structure of KSr2Ca from Alexandria. Energies are from meta-GGA SCAN.

Volume (Å³ per cell): 209
Crystal system: tetragonal
Symmetry: P4/mmm, No. 123

Cell lengths 4.112, 4.112, 12.370 Å; angles 90.00, 90.00, 90.00 degrees
Sites, in units of the cell vectors:
K 0.000 0.000 0.000
Sr 0.500 0.500 0.277
Sr 0.500 0.500 0.723
Ca 0.000 0.000 0.500

Version 2
Here is a PBEsol-optimized structure of KSr2Ca from Alexandria. Energies are from meta-GGA SCAN.

Volume (Å³ per cell): 208
Crystal system: tetragonal
Symmetry: P4mm, No. 99

Cell lengths 4.069, 4.069, 12.572 Å; angles 90.00, 90.00, 90.00 degrees
Sites, in units of the cell vectors:
K 0.000 0.000 0.000
Sr 0.000 0.000 0.520
Sr 0.500 0.500 0.277
Ca 0.500 0.500 0.744

Which one sits at the bottom of the stability order? version 2 does.

Version 1
Here is a PBEsol-optimized structure of La2YSc from Alexandria. Energies are from meta-GGA SCAN.

Volume (Å³ per cell): 121
Crystal system: orthorhombic
Symmetry: Pmmm, No. 47

Cell lengths 3.623, 4.604, 7.281 Å; angles 90.00, 90.00, 90.00 degrees
Sites, in units of the cell vectors:
La 0.000 0.000 0.235
La 0.000 0.000 0.765
Y 0.500 0.500 0.500
Sc 0.500 0.500 0.000

Version 2
Here is a PBEsol-optimized structure of La2YSc from Alexandria. Energies are from meta-GGA SCAN.

Volume (Å³ per cell): 121
Crystal system: tetragonal
Symmetry: I-4m2, No. 119

Cell lengths 6.098, 6.098, 6.098 Å; angles 132.38, 132.38, 69.63 degrees
Sites, in units of the cell vectors:
La 0.000 0.000 0.000
La 0.750 0.250 0.500
Y 0.250 0.750 0.500
Sc 0.500 0.500 0.000

Which one sits at the bottom of the stability order? version 2 does.

Version 1
Here is a PBEsol-optimized structure of ScCoBr2 from Alexandria. Energies are from meta-GGA SCAN.

Volume (Å³ per cell): 76
Crystal system: cubic
Symmetry: F-43m, No. 216

Cell lengths 4.750, 4.750, 4.750 Å; angles 60.00, 60.00, 60.00 degrees
Sites, in units of the cell vectors:
Sc 0.000 0.000 0.000
Co 0.250 0.250 0.250
Br 0.500 0.500 0.500
Br 0.750 0.750 0.750

Version 2
Here is a PBEsol-optimized structure of ScCoBr2 from Alexandria. Energies are from meta-GGA SCAN.

Volume (Å³ per cell): 86
Crystal system: trigonal
Symmetry: R3m, No. 160

Cell lengths 7.131, 7.131, 7.131 Å; angles 31.07, 31.07, 31.07 degrees
Sites, in units of the cell vectors:
Sc 0.000 0.000 0.000
Co 0.265 0.265 0.265
Br 0.574 0.574 0.574
Br 0.752 0.752 0.752

Which one sits at the bottom of the stability order? version 1 does.

Version 1
Here is a PBEsol-optimized structure of Er2WO6 from Alexandria. Energies are from meta-GGA SCAN.

Volume (Å³ per cell): 451
Crystal system: orthorhombic
Symmetry: P2_12_12_1, No. 19

Cell lengths 5.158, 8.956, 9.755 Å; angles 90.00, 90.00, 90.00 degrees
Sites, in units of the cell vectors:
Er 0.019 0.103 0.467
Er 0.041 0.220 0.873
Er 0.459 0.780 0.373
Er 0.481 0.897 0.967
Er 0.519 0.397 0.533
Er 0.541 0.280 0.127
Er 0.959 0.720 0.627
Er 0.981 0.603 0.033
W 0.040 0.495 0.347
W 0.460 0.505 0.847
W 0.540 0.005 0.653
W 0.960 0.995 0.153
O 0.084 0.842 0.030
O 0.176 0.637 0.818
O 0.178 0.953 0.300
O 0.195 0.642 0.234
O 0.235 0.114 0.067
O 0.249 0.591 0.496
O 0.251 0.409 0.996
O 0.265 0.886 0.567
O 0.305 0.358 0.734
O 0.322 0.047 0.800
O 0.324 0.363 0.318
O 0.416 0.158 0.530
O 0.584 0.658 0.970
O 0.676 0.863 0.182
O 0.678 0.547 0.700
O 0.695 0.858 0.766
O 0.735 0.386 0.933
O 0.749 0.909 0.504
O 0.751 0.091 0.004
O 0.765 0.614 0.433
O 0.805 0.142 0.266
O 0.822 0.453 0.200
O 0.824 0.137 0.682
O 0.916 0.342 0.470

Version 2
Here is a PBEsol-optimized structure of Er2WO6 from Alexandria. Energies are from meta-GGA SCAN.

Volume (Å³ per cell): 431
Crystal system: monoclinic
Symmetry: P2/c, No. 13

Cell lengths 7.546, 5.272, 11.216 Å; angles 90.00, 104.89, 90.00 degrees
Sites, in units of the cell vectors:
Er 0.000 0.181 0.250
Er 0.000 0.819 0.750
Er 0.296 0.318 0.922
Er 0.296 0.682 0.422
Er 0.500 0.239 0.250
Er 0.500 0.761 0.750
Er 0.704 0.318 0.578
Er 0.704 0.682 0.078
W 0.222 0.245 0.614
W 0.222 0.755 0.114
W 0.778 0.245 0.886
W 0.778 0.755 0.386
O 0.013 0.143 0.887
O 0.013 0.857 0.387
O 0.131 0.345 0.449
O 0.131 0.655 0.949
O 0.212 0.481 0.230
O 0.212 0.519 0.730
O 0.288 0.037 0.773
O 0.288 0.963 0.273
O 0.351 0.031 0.070
O 0.351 0.969 0.570
O 0.438 0.461 0.603
O 0.438 0.539 0.103
O 0.562 0.461 0.897
O 0.562 0.539 0.397
O 0.649 0.031 0.430
O 0.649 0.969 0.930
O 0.712 0.037 0.727
O 0.712 0.963 0.227
O 0.788 0.481 0.270
O 0.788 0.519 0.770
O 0.869 0.345 0.051
O 0.869 0.655 0.551
O 0.987 0.143 0.613
O 0.987 0.857 0.113

Which one sits at the bottom of the stability order? version 1 does.

Version 1
Here is a PBEsol-optimized structure of ScCoTc2 from Alexandria. Energies are from meta-GGA SCAN.

Volume (Å³ per cell): 56
Crystal system: cubic
Symmetry: Fm-3m, No. 225

Cell lengths 4.300, 4.300, 4.300 Å; angles 60.00, 60.00, 60.00 degrees
Sites, in units of the cell vectors:
Sc 0.000 0.000 0.000
Co 0.500 0.500 0.500
Tc 0.250 0.250 0.250
Tc 0.750 0.750 0.750

Version 2
Here is a PBEsol-optimized structure of ScCoTc2 from Alexandria. Energies are from meta-GGA SCAN.

Volume (Å³ per cell): 56
Crystal system: tetragonal
Symmetry: P4/mmm, No. 123

Cell lengths 4.225, 4.225, 3.142 Å; angles 90.00, 90.00, 90.00 degrees
Sites, in units of the cell vectors:
Sc 0.000 0.000 0.000
Co 0.500 0.500 0.000
Tc 0.000 0.500 0.500
Tc 0.500 0.000 0.500

Which one sits at the bottom of the stability order? version 1 does.